DFT (PBE-GGA) results for a relaxed Nd2ZrAl crystal.

Unit cell a=3.3199 b=3.3199 c=11.8135 alpha=81.92 beta=81.92 gamma=60.00
Last column: nearest neighbours and their distance in Å.
Fractional coordinates of all 4 atoms:
Nd 0.9055 0.9055 0.2834  3 Al 3.17, 1 Zr 3.30, 6 Nd 3.32
Nd 0.0945 0.0945 0.7166  3 Al 3.17, 1 Zr 3.30, 6 Nd 3.32
Zr 0.0000 0.0000 0.0000  2 Nd 3.30, 6 Zr 3.32
Al 0.5000 0.5000 0.5000  6 Nd 3.17, 6 Al 3.32

Summary:
calculated volume	27.82	Å³/atom
polymorph energy (0 for the lowest one)	0.379	eV per atom
M_tot	0.00	μB per cell
ΔE_f	0.29	eV per atom

***

DFT (PBE-GGA) results for a relaxed BaAl2BrO crystal.

Unit cell a=4.3273 b=6.7318 c=4.3273 alpha=90.00 beta=90.00 gamma=90.00
Last column: nearest neighbours and their distance in Å.
Fractional coordinates of all 5 atoms:
Al 0.0000 0.0000 0.5000  2 O 2.16
O 0.0000 0.0000 0.0000  4 Al 2.16
Ba 0.5000 0.5000 0.5000  4 Br 3.06
Al 0.5000 0.0000 0.0000  2 O 2.16
Br 0.0000 0.5000 0.0000  4 Ba 3.06, 2 O 3.37

Summary:
calculated volume	25.21	Å³/atom
M_tot	0.59	μB per cell
VASP energy	-3.975	eV/atom

***

DFT (PBE-GGA) results for a relaxed Ca2YAg2 crystal.

Unit cell a=4.5934 b=4.5934 c=7.5154 alpha=72.21 beta=72.21 gamma=90.00
Last column: nearest neighbours and their distance in Å.
Fractional coordinates of all 5 atoms:
Y 0.0000 0.0000 0.0000  8 Ag 3.51
Ca 0.7500 0.2500 0.5000  4 Ag 3.08, 4 Ca 3.25
Ag 0.4012 0.4012 0.1975  1 Ag 2.68
Ag 0.5988 0.5988 0.8025  1 Ag 2.68
Ca 0.2500 0.7500 0.5000  4 Ag 3.08, 4 Ca 3.25

Summary:
calculated volume	28.60	Å³/atom
polymorph energy (0 for the lowest one)	0.221	eV per atom
M_tot	0.00	μB per cell
ΔE_f	-0.02	eV per atom